1.
Here is a relaxed Ca2SbBr crystal from Alexandria. Energies are from PBE.

Total magnetic moment: 0.00 μB per cell
Total energy: -0.131 hartree per atom

a = 3.9257 Å, b = 3.9257 Å, c = 7.9814 Å
α = 90.00°, β = 90.00°, γ = 95.68°
Atoms (fractional coordinates):
Ca 0.0000 0.0000 0.2144
Ca 0.0000 0.0000 0.7856
Sb 0.5000 0.5000 0.0000
Br 0.5000 0.5000 0.5000


2.
Here is a relaxed CaSbBr5 crystal from Alexandria. Energies are from PBE.

Total magnetic moment: 0.00 μB per cell
Total energy: -0.118 hartree per atom

a = 8.6287 Å, b = 4.1296 Å, c = 13.9446 Å
α = 90.00°, β = 95.81°, γ = 90.00°
Atoms (fractional coordinates):
Ca 0.0840 0.2500 0.1375
Ca 0.9160 0.7500 0.8625
Sb 0.4116 0.7500 0.3469
Sb 0.5884 0.2500 0.6531
Br 0.0762 0.7500 0.3072
Br 0.1406 0.2500 0.9308
Br 0.3178 0.2500 0.4800
Br 0.3454 0.7500 0.1400
Br 0.3823 0.7500 0.7033
Br 0.6177 0.2500 0.2967
Br 0.6546 0.2500 0.8600
Br 0.6822 0.7500 0.5200
Br 0.8594 0.7500 0.0692
Br 0.9238 0.2500 0.6928


3.
Here is a relaxed Ca2SbBr crystal from Alexandria. Energies are from PBE.

Total magnetic moment: 0.00 μB per cell
Total energy: -0.132 hartree per atom

a = 5.5412 Å, b = 5.5412 Å, c = 3.8160 Å
α = 95.61°, β = 95.61°, γ = 90.12°
Atoms (fractional coordinates):
Ca 0.0000 0.5000 0.0000
Ca 0.5000 0.0000 0.0000
Sb 0.0000 0.0000 0.5000
Br 0.5000 0.5000 0.5000


4.
Here is a relaxed CaSbBr crystal from Alexandria. Energies are from PBE.

Total magnetic moment: 0.73 μB per cell
Total energy: -0.119 hartree per atom
Offset from the most stable computed form: 0.000 eV/atom

a = 5.1553 Å, b = 5.1553 Å, c = 3.8101 Å
α = 90.00°, β = 90.00°, γ = 120.00°
Atoms (fractional coordinates):
Ca 0.0000 0.0000 0.0000
Sb 0.6667 0.3333 0.5000
Br 0.3333 0.6667 0.0000


5.
Here is a relaxed CaSbBr2 crystal from Alexandria. Energies are from PBE.

Total magnetic moment: 0.00 μB per cell
Total energy: -0.125 hartree per atom
Offset from the most stable computed form: 0.003 eV/atom

a = 12.6988 Å, b = 12.6988 Å, c = 12.6988 Å
α = 17.36°, β = 17.36°, γ = 17.36°
Atoms (fractional coordinates):
Ca 0.0000 0.0000 0.0000
Sb 0.5000 0.5000 0.5000
Br 0.3806 0.3806 0.3806
Br 0.6194 0.6194 0.6194


6.
Here is a relaxed CaSbSe2Br crystal from Alexandria. Energies are from PBE.

Total magnetic moment: 0.00 μB per cell
Total energy: -0.129 hartree per atom
Offset from the most stable computed form: 0.000 eV/atom

a = 5.4495 Å, b = 5.4495 Å, c = 5.4101 Å
α = 90.00°, β = 90.00°, γ = 90.00°
Atoms (fractional coordinates):
Ca 0.0000 0.0000 0.0000
Sb 0.5000 0.5000 0.5000
Se 0.0000 0.5000 0.5000
Se 0.5000 0.0000 0.5000
Br 0.5000 0.5000 0.0000